Below is crystalline KNdTiS4 at its relaxed geometry, with properties calculated at the PBE level.

a = 6.7922 Å, b = 6.7373 Å, c = 8.8493 Å
α = 90.00°, β = 107.45°, γ = 90.00°
Closest atoms and distances in Å follow each position.
Fractional coordinates of all 14 atoms:
K (0.7238, 0.7500, 0.9348)  8 S 3.22-3.57
K (0.2762, 0.2500, 0.0652)  8 S 3.22-3.57
Nd (0.7800, 0.7500, 0.4492)  6 S 2.87-2.93
Nd (0.2200, 0.2500, 0.5508)  6 S 2.87-2.93
Ti (0.2304, 0.7500, 0.3226)  4 S 2.23-2.28
Ti (0.7696, 0.2500, 0.6774)  4 S 2.23-2.28
S (0.9991, 0.5050, 0.7134)  1 Ti 2.28
S (0.0009, 0.0050, 0.2866)  1 Ti 2.28
S (0.0009, 0.4950, 0.2866)  1 Ti 2.28
S (0.9991, 0.9950, 0.7134)  1 Ti 2.28
S (0.4358, 0.7500, 0.1657)  1 Ti 2.24
S (0.5642, 0.2500, 0.8343)  1 Ti 2.24
S (0.4290, 0.7500, 0.5743)  1 Ti 2.23
S (0.5710, 0.2500, 0.4257)  1 Ti 2.23

- SG = P2_1/m, No. 11
- formation energy without anion corrections (eV per atom) = -1.61
- calculated volume (Å³/cell) = 386
- size of the total moment (μB per formula unit) = 0.00